(1)
Entry from Alexandria: a relaxed TmBF crystal (PBE).

## Properties
ΔE_f (raw): -1669 meV/atom
Total magnetic moment: 0.00 Bohr magnetons per cell
Crystal system: monoclinic

abc: 6.330 5.210 6.187
angles: 90.00 97.13 90.00
Sites, in units of the cell vectors:
Tm (0.142, 0.000, 0.275)
Tm (0.358, 0.500, 0.725)
Tm (0.642, 0.500, 0.275)
Tm (0.858, 0.000, 0.725)
B (0.000, 0.355, 0.500)
B (0.000, 0.645, 0.500)
B (0.500, 0.145, 0.500)
B (0.500, 0.855, 0.500)
F (0.182, 0.000, 0.925)
F (0.318, 0.500, 0.075)
F (0.682, 0.500, 0.925)
F (0.818, 0.000, 0.075)


(2)
Entry from Alexandria: a relaxed PtPb4Au crystal (PBE).

## Properties
Formation enthalpy at 0 K: 0.5855 eV per atom
Total magnetic moment: 0.00 Bohr magnetons per cell
Crystal system: cubic

abc: 6.219 6.219 6.219
angles: 60.00 60.00 60.00
Sites, in units of the cell vectors:
Pt (0.000, 0.000, 0.000)
Pb (0.375, 0.375, 0.375)
Pb (0.375, 0.375, 0.876)
Pb (0.375, 0.876, 0.375)
Pb (0.876, 0.375, 0.375)
Au (0.750, 0.750, 0.750)


(3)
Entry from Alexandria: a relaxed K2SrTe2 crystal (PBE).

## Properties
ΔE_f (raw): -1084 meV/atom
Total magnetic moment: 0.00 Bohr magnetons per cell
Crystal system: tetragonal

abc: 9.072 9.072 4.932
angles: 90.00 90.00 90.00
Sites, in units of the cell vectors:
K (0.127, 0.373, 0.000)
K (0.373, 0.873, 0.000)
K (0.627, 0.127, 0.000)
K (0.873, 0.627, 0.000)
Sr (0.000, 0.000, 0.500)
Sr (0.500, 0.500, 0.500)
Te (0.180, 0.680, 0.500)
Te (0.320, 0.180, 0.500)
Te (0.680, 0.820, 0.500)
Te (0.820, 0.320, 0.500)


(4)
Entry from Alexandria: a relaxed KRbTeO4 crystal (PBE).

## Properties
ΔE_f (raw): -1380 meV/atom
Total magnetic moment: 0.34 Bohr magnetons per cell
Crystal system: monoclinic

abc: 6.625 6.762 7.697
angles: 90.00 108.66 90.00
Sites, in units of the cell vectors:
K (0.176, 0.250, 0.027)
K (0.824, 0.750, 0.973)
Rb (0.298, 0.250, 0.566)
Rb (0.702, 0.750, 0.434)
Te (0.266, 0.750, 0.812)
Te (0.734, 0.250, 0.188)
O (0.085, 0.534, 0.764)
O (0.085, 0.966, 0.764)
O (0.429, 0.750, 0.057)
O (0.444, 0.750, 0.671)
O (0.556, 0.250, 0.329)
O (0.571, 0.250, 0.943)
O (0.915, 0.034, 0.236)
O (0.915, 0.466, 0.236)